Version P
Density functional theory data (meta-GGA SCAN) for a PBEsol-optimized structure of Sr2ZnAu.

Spin magnetization ... 0.000 μB/f.u.

abc: 4.538 6.176 6.176
angles: 42.18 90.00 90.00
Atoms (fractional coordinates):
Sr 0.000 0.000 0.000
Sr 0.500 0.285 0.285
Zn 0.500 0.582 0.582
Au 0.000 0.705 0.705

=====

Version Q
Density functional theory data (meta-GGA SCAN) for a PBEsol-optimized structure of Sr2ZnAu.

Spin magnetization ... 0.000 μB/f.u.

abc: 5.355 5.355 5.355
angles: 60.00 60.00 60.00
Atoms (fractional coordinates):
Sr 0.250 0.250 0.250
Sr 0.750 0.750 0.750
Zn 0.000 0.000 0.000
Au 0.500 0.500 0.500

=====

Version R
Density functional theory data (meta-GGA SCAN) for a PBEsol-optimized structure of Sr2ZnAu.

Spin magnetization ... 0.000 μB/f.u.

abc: 3.810 3.810 7.507
angles: 90.00 90.00 90.00
Atoms (fractional coordinates):
Sr 0.000 0.000 0.244
Sr 0.000 0.000 0.756
Zn 0.500 0.500 0.500
Au 0.500 0.500 0.000

=====

In meV/atom, relative to the most stable structure: version P 0; version Q 80; version R 70.

=====

Version P
Density functional theory data (meta-GGA SCAN) for a PBEsol-optimized structure of Ta5Au.

Spin magnetization ... 0.000 μB/f.u.

abc: 6.879 6.879 4.570
angles: 90.00 90.00 151.16
Atoms (fractional coordinates):
Ta 0.000 0.000 0.000
Ta 0.167 0.833 0.500
Ta 0.334 0.666 0.000
Ta 0.666 0.334 0.000
Ta 0.833 0.167 0.500
Au 0.500 0.500 0.500

=====

Version Q
Density functional theory data (meta-GGA SCAN) for a PBEsol-optimized structure of Ta5Au.

Spin magnetization ... 0.000 μB/f.u.

abc: 5.511 5.511 4.447
angles: 90.00 90.00 120.00
Atoms (fractional coordinates):
Ta 0.000 0.500 0.000
Ta 0.333 0.667 0.500
Ta 0.500 0.000 0.000
Ta 0.500 0.500 0.000
Ta 0.667 0.333 0.500
Au 0.000 0.000 0.500

=====

In meV/atom, relative to the most stable structure: version P 0; version Q 745.

=====

Version P
Density functional theory data (meta-GGA SCAN) for a PBEsol-optimized structure of TaTc2Au.

Spin magnetization ... 0.000 μB/f.u.

abc: 3.955 3.955 3.893
angles: 90.00 90.00 90.00
Atoms (fractional coordinates):
Ta 0.000 0.000 0.000
Tc 0.000 0.500 0.500
Tc 0.500 0.000 0.500
Au 0.500 0.500 0.000

=====

Version Q
Density functional theory data (meta-GGA SCAN) for a PBEsol-optimized structure of TaTc2Au.

Spin magnetization ... 0.000 μB/f.u.

abc: 4.787 4.787 4.787
angles: 130.76 130.76 72.20
Atoms (fractional coordinates):
Ta 0.000 0.000 0.000
Tc 0.250 0.750 0.500
Tc 0.750 0.250 0.500
Au 0.500 0.500 0.000

=====

In meV/atom, relative to the most stable structure: version P 0; version Q 223.

=====

Version P
Density functional theory data (meta-GGA SCAN) for a PBEsol-optimized structure of TaTe2Au.

Spin magnetization ... 0.000 μB/f.u.

abc: 3.504 3.504 6.726
angles: 90.00 90.00 90.00
Atoms (fractional coordinates):
Ta 0.000 0.000 0.000
Te 0.500 0.500 0.234
Te 0.500 0.500 0.766
Au 0.000 0.000 0.500

=====

Version Q
Density functional theory data (meta-GGA SCAN) for a PBEsol-optimized structure of TaTe2Au.

Spin magnetization ... 0.000 μB/f.u.

abc: 3.406 4.683 5.268
angles: 90.00 90.00 90.00
Atoms (fractional coordinates):
Ta 0.000 0.000 0.000
Te 0.000 0.500 0.500
Te 0.500 0.500 0.000
Au 0.500 0.000 0.500

=====

In meV/atom, relative to the most stable structure: version P 0; version Q 501.

=====

Version P
Density functional theory data (meta-GGA SCAN) for a PBEsol-optimized structure of TaTl2Au.

Spin magnetization ... 0.000 μB/f.u.

abc: 3.073 4.046 6.474
angles: 90.00 90.00 90.00
Atoms (fractional coordinates):
Ta 0.000 0.000 0.000
Tl 0.500 0.500 0.248
Tl 0.500 0.500 0.752
Au 0.000 0.000 0.500

=====

Version Q
Density functional theory data (meta-GGA SCAN) for a PBEsol-optimized structure of TaTl2Au.

Spin magnetization ... 0.000 μB/f.u.

abc: 5.613 5.613 5.613
angles: 136.79 136.79 62.76
Atoms (fractional coordinates):
Ta 0.000 0.000 0.000
Tl 0.250 0.750 0.500
Tl 0.750 0.250 0.500
Au 0.500 0.500 0.000

=====

In meV/atom, relative to the most stable structure: version P 0; version Q 42.

=====

Version P
Density functional theory data (meta-GGA SCAN) for a PBEsol-optimized structure of TaZn2Au.

Spin magnetization ... 0.000 μB/f.u.

abc: 2.856 2.856 7.546
angles: 90.00 90.00 90.00
Atoms (fractional coordinates):
Ta 0.000 0.000 0.000
Zn 0.500 0.500 0.256
Zn 0.500 0.500 0.744
Au 0.000 0.000 0.500

=====

Version Q
Density functional theory data (meta-GGA SCAN) for a PBEsol-optimized structure of TaZn2Au.

Spin magnetization ... 0.000 μB/f.u.

abc: 5.491 5.491 5.491
angles: 150.92 128.76 60.00
Atoms (fractional coordinates):
Ta 0.000 0.000 0.000
Zn 0.507 0.507 0.000
Zn 0.742 0.242 0.500
Au 0.264 0.764 0.500

=====

In meV/atom, relative to the most stable structure: version P 0; version Q 189.